CsZrAlSe3 after structural relaxation. Source: OQMD, functional PBE.

Computed properties:
The uncorrected energy comes out at -4.9445 eV per atom.

Cell lengths 8.649, 8.649, 10.512 Å; angles 90.00, 90.00, 154.38 degrees
Sites, in units of the cell vectors:
1 Cs 0.239 0.761 0.750
2 Cs 0.761 0.239 0.250
3 Zr 0.500 0.500 0.000
4 Zr 0.500 0.500 0.500
5 Al 0.041 0.959 0.250
6 Al 0.959 0.041 0.750
7 Se 0.119 0.881 0.059
8 Se 0.119 0.881 0.441
9 Se 0.449 0.551 0.250
10 Se 0.551 0.449 0.750
11 Se 0.881 0.119 0.559
12 Se 0.881 0.119 0.941